No. 1
Here is BaAs2Pt after structural relaxation from the Alexandria database. Energies are from PBE.

POSCAR file:
```
BaAs2Pt
1.0
5.7148 -2.0343 0.0000
5.7148 2.0343 0.0000
-1.6667 0.0000 4.6866
Ba As Pt
1 2 1
direct
0.0000 0.0000 0.0000 Ba
0.2077 0.2077 0.6532 As
0.3218 0.3218 0.1883 As
0.7625 0.7625 0.4088 Pt
```

Calculated values
- Crystal system: monoclinic
- Calculated total energy: -5.0984 eV/atom
- Calculated formation energy: -783 meV/atom

---

No. 2
Here is Pm3Ho2Er after structural relaxation from the Alexandria database. Energies are from PBE.

POSCAR file:
```
Pm3Ho2Er
1.0
7.2153 0.0000 0.0000
3.5987 6.2660 0.0000
1.8312 1.0550 8.6629
Pm Ho Er
6 4 2
direct
0.1394 0.1385 0.1647 Pm
0.1396 0.6387 0.1672 Pm
0.2516 0.7495 0.5024 Pm
0.7484 0.2505 0.4976 Pm
0.8604 0.3613 0.8328 Pm
0.8606 0.8615 0.8353 Pm
0.3627 0.3607 0.8334 Ho
0.3638 0.8613 0.8312 Ho
0.6362 0.1387 0.1688 Ho
0.6373 0.6393 0.1666 Ho
0.2512 0.2486 0.5014 Er
0.7488 0.7514 0.4986 Er
```

Calculated values
- ΔE to the lowest computed polymorph: 0 meV per atom
- Crystal system: triclinic
- Calculated total energy: -4.6559 eV/atom
- Calculated formation energy: 6 meV/atom

---

No. 3
Here is Sc2HgSe2 after structural relaxation from the Alexandria database. Energies are from PBE.

POSCAR file:
```
Sc2HgSe2
1.0
7.7270 0.0000 0.0000
0.0000 7.7270 0.0000
0.0000 0.0000 3.5551
Sc Hg Se
4 2 4
direct
0.1467 0.3533 0.0000 Sc
0.3533 0.8533 0.0000 Sc
0.6467 0.1467 0.0000 Sc
0.8533 0.6467 0.0000 Sc
0.0000 0.0000 0.0000 Hg
0.5000 0.5000 0.0000 Hg
0.1468 0.6468 0.5000 Se
0.3532 0.1468 0.5000 Se
0.6468 0.8532 0.5000 Se
0.8532 0.3532 0.5000 Se
```

Calculated values
- ΔE to the lowest computed polymorph: 0 meV per atom
- Crystal system: tetragonal
- Calculated total energy: -5.0489 eV/atom

---

No. 4
Here is LiEr2TmAu4 after structural relaxation from the Alexandria database. Energies are from PBE.

POSCAR file:
```
LiEr2TmAu4
1.0
2.4694 1.4257 8.1188
-2.4694 1.4257 8.1188
0.0000 -2.8515 8.1188
Li Er Tm Au
1 2 1 4
direct
0.0000 0.0000 0.0000 Li
0.2557 0.2557 0.2557 Er
0.7443 0.7443 0.7443 Er
0.5000 0.5000 0.5000 Tm
0.1288 0.1288 0.1288 Au
0.3779 0.3779 0.3779 Au
0.6221 0.6221 0.6221 Au
0.8712 0.8712 0.8712 Au
```

Calculated values
- Crystal system: trigonal
- Calculated total energy: -4.3813 eV/atom
- Calculated formation energy: -804 meV/atom

---

No. 5
Here is Mg2FeTc after structural relaxation from the Alexandria database. Energies are from PBE.

POSCAR file:
```
Mg2FeTc
1.0
2.7293 -4.3226 0.0000
2.7293 4.3226 0.0000
0.0000 0.0000 2.6456
Mg Fe Tc
2 1 1
direct
0.0000 0.5000 0.0000 Mg
0.5000 0.0000 0.0000 Mg
0.0000 0.0000 0.5000 Fe
0.5000 0.5000 0.5000 Tc
```

Calculated values
- ΔE to the lowest computed polymorph: 182 meV per atom
- Crystal system: orthorhombic
- Calculated total energy: -5.2257 eV/atom
- Calculated formation energy: 279 meV/atom

---

No. 6
Here is Cs2In2H7 after structural relaxation from the Alexandria database. Energies are from PBE.

POSCAR file:
```
Cs2In2H7
1.0
4.3584 -5.0420 0.0000
4.3584 5.0420 0.0000
-0.5499 0.0000 5.0052
Cs In H
2 2 7
direct
0.2384 0.7616 0.0000 Cs
0.7616 0.2384 0.0000 Cs
0.2391 0.2391 0.5223 In
0.7609 0.7609 0.4777 In
0.0000 0.0000 0.5000 H
0.1820 0.4757 0.4153 H
0.2685 0.2685 0.8860 H
0.4757 0.1820 0.4153 H
0.5243 0.8180 0.5847 H
0.7315 0.7315 0.1140 H
0.8180 0.5243 0.5847 H
```

Calculated values
- Crystal system: monoclinic
- Calculated total energy: -2.7600 eV/atom

---

No. 7
Here is Co2Hg after structural relaxation from the Alexandria database. Energies are from PBE.

POSCAR file:
```
Co2Hg
1.0
0.0000 3.4987 3.4987
3.4987 0.0000 3.4987
3.4987 3.4987 0.0000
Co Hg
4 2
direct
0.0000 0.0000 0.0000 Co
0.0000 0.0000 0.5000 Co
0.0000 0.5000 0.0000 Co
0.5000 0.0000 0.0000 Co
0.3750 0.3750 0.3750 Hg
0.6250 0.6250 0.6250 Hg
```

Calculated values
- Crystal system: cubic
- Calculated total energy: -4.4385 eV/atom
- Calculated formation energy: 399 meV/atom

---

No. 8
Here is YPb after structural relaxation from the Alexandria database. Energies are from PBE.

POSCAR file:
```
YPb
1.0
5.4262 0.0000 0.0000
-2.7131 4.6992 0.0000
0.0000 0.0000 6.1638
Y Pb
2 2
direct
0.3333 0.6667 0.2500 Y
0.6667 0.3333 0.7500 Y
0.3333 0.6667 0.7500 Pb
0.6667 0.3333 0.2500 Pb
```

Calculated values
- Crystal system: hexagonal
- Calculated total energy: -5.1434 eV/atom
- Calculated formation energy: -57 meV/atom